1.
! PBE UFe5B3, relaxed; values from VASP
&SYSTEM
  ibrav = 0, nat = 18, ntyp = 3
/
ATOMIC_SPECIES
U 238.03 U.upf
Fe 55.84 Fe.upf
B 10.81 B.upf
ATOMIC_POSITIONS crystal
U 0.162 0.838 0.750
U 0.838 0.162 0.250
Fe 0.000 0.000 0.000
Fe 0.000 0.000 0.500
Fe 0.198 0.802 0.065
Fe 0.198 0.802 0.435
Fe 0.450 0.550 0.646
Fe 0.450 0.550 0.854
Fe 0.550 0.450 0.146
Fe 0.550 0.450 0.354
Fe 0.802 0.198 0.565
Fe 0.802 0.198 0.935
B 0.127 0.873 0.250
B 0.380 0.620 0.044
B 0.380 0.620 0.456
B 0.620 0.380 0.544
B 0.620 0.380 0.956
B 0.873 0.127 0.750
CELL_PARAMETERS angstrom
1.619 -5.616 0.000
1.619 5.616 0.000
0.000 0.000 10.828
! Symmetry: Cmcm, No. 63
! Calculated formation energy (eV per atom): -0.17
! E (eV/atom): -8.354

2.
! PBE UFe4B4, relaxed; values from VASP
&SYSTEM
  ibrav = 0, nat = 18, ntyp = 3
/
ATOMIC_SPECIES
U 238.03 U.upf
Fe 55.84 Fe.upf
B 10.81 B.upf
ATOMIC_POSITIONS crystal
U 0.250 0.750 0.250
U 0.750 0.250 0.750
Fe 0.007 0.750 0.611
Fe 0.250 0.507 0.889
Fe 0.250 0.993 0.889
Fe 0.493 0.750 0.611
Fe 0.507 0.250 0.389
Fe 0.750 0.007 0.111
Fe 0.750 0.493 0.111
Fe 0.993 0.250 0.389
B 0.077 0.250 0.094
B 0.250 0.077 0.594
B 0.250 0.423 0.594
B 0.423 0.250 0.094
B 0.577 0.750 0.906
B 0.750 0.577 0.406
B 0.750 0.923 0.406
B 0.923 0.750 0.906
CELL_PARAMETERS angstrom
5.037 0.000 0.000
0.000 5.037 0.000
0.000 0.000 6.857
! Symmetry: P4_2/nmc, No. 137
! Calculated formation energy (eV per atom): -0.44
! E (eV/atom): -8.422

3.
! PBE U3Fe11B4, relaxed; values from VASP
&SYSTEM
  ibrav = 0, nat = 18, ntyp = 3
/
ATOMIC_SPECIES
U 238.03 U.upf
Fe 55.84 Fe.upf
B 10.81 B.upf
ATOMIC_POSITIONS crystal
U 0.000 0.000 0.000
U 0.000 0.000 0.349
U 0.000 0.000 0.651
Fe 0.000 0.500 0.203
Fe 0.000 0.500 0.500
Fe 0.000 0.500 0.797
Fe 0.333 0.667 0.000
Fe 0.500 0.000 0.203
Fe 0.500 0.000 0.500
Fe 0.500 0.000 0.797
Fe 0.500 0.500 0.203
Fe 0.500 0.500 0.500
Fe 0.500 0.500 0.797
Fe 0.667 0.333 0.000
B 0.333 0.667 0.352
B 0.333 0.667 0.648
B 0.667 0.333 0.352
B 0.667 0.333 0.648
CELL_PARAMETERS angstrom
4.963 0.000 0.000
-2.481 4.298 0.000
0.000 0.000 10.040
! Symmetry: P6/mmm, No. 191
! Calculated formation energy (eV per atom): -0.27
! E (eV/atom): -8.804

4.
! PBE VFeB2, relaxed; values from VASP
&SYSTEM
  ibrav = 0, nat = 16, ntyp = 3
/
ATOMIC_SPECIES
V 50.94 V.upf
Fe 55.84 Fe.upf
B 10.81 B.upf
ATOMIC_POSITIONS crystal
V 0.000 0.000 0.000
V 0.000 0.500 0.500
V 0.500 0.000 0.500
V 0.500 0.500 0.000
Fe 0.000 0.000 0.500
Fe 0.000 0.500 0.000
Fe 0.500 0.000 0.000
Fe 0.500 0.500 0.500
B 0.250 0.250 0.250
B 0.250 0.250 0.750
B 0.250 0.750 0.250
B 0.250 0.750 0.750
B 0.750 0.250 0.250
B 0.750 0.250 0.750
B 0.750 0.750 0.250
B 0.750 0.750 0.750
CELL_PARAMETERS angstrom
5.153 0.000 0.000
0.000 5.153 0.000
0.000 0.000 5.153
! Symmetry: Fm-3m, No. 225
! Calculated formation energy (eV per atom): 0.01
! E (eV/atom): -7.725

5.
! PBE V2Fe3B2, relaxed; values from VASP
&SYSTEM
  ibrav = 0, nat = 14, ntyp = 3
/
ATOMIC_SPECIES
V 50.94 V.upf
Fe 55.84 Fe.upf
B 10.81 B.upf
ATOMIC_POSITIONS crystal
V 0.000 0.175 0.000
V 0.000 0.825 0.000
V 0.500 0.325 0.000
V 0.500 0.675 0.000
Fe 0.000 0.000 0.000
Fe 0.000 0.417 0.500
Fe 0.000 0.583 0.500
Fe 0.500 0.083 0.500
Fe 0.500 0.500 0.000
Fe 0.500 0.917 0.500
B 0.000 0.279 0.500
B 0.000 0.721 0.500
B 0.500 0.221 0.500
B 0.500 0.779 0.500
CELL_PARAMETERS angstrom
2.934 0.000 0.000
0.000 16.113 0.000
0.000 0.000 2.981
! Symmetry: Cmmm, No. 65
! Calculated formation energy (eV per atom): -0.45
! E (eV/atom): -8.595

6.
! PBE VFeB2, relaxed; values from VASP
&SYSTEM
  ibrav = 0, nat = 16, ntyp = 3
/
ATOMIC_SPECIES
V 50.94 V.upf
Fe 55.84 Fe.upf
B 10.81 B.upf
ATOMIC_POSITIONS crystal
V 0.000 0.250 0.375
V 0.000 0.750 0.625
V 0.500 0.250 0.125
V 0.500 0.750 0.875
Fe 0.000 0.250 0.875
Fe 0.000 0.750 0.125
Fe 0.500 0.250 0.625
Fe 0.500 0.750 0.375
B 0.000 0.000 0.000
B 0.000 0.500 0.000
B 0.250 0.250 0.750
B 0.250 0.750 0.250
B 0.500 0.000 0.500
B 0.500 0.500 0.500
B 0.750 0.250 0.750
B 0.750 0.750 0.250
CELL_PARAMETERS angstrom
3.383 0.000 0.000
0.000 3.383 0.000
0.000 0.000 14.241
! Symmetry: I4_1/amd, No. 141
! Calculated formation energy (eV per atom): 0.24
! E (eV/atom): -7.492

7.
! PBE V4FeB2, relaxed; values from VASP
&SYSTEM
  ibrav = 0, nat = 7, ntyp = 3
/
ATOMIC_SPECIES
V 50.94 V.upf
Fe 55.84 Fe.upf
B 10.81 B.upf
ATOMIC_POSITIONS crystal
V 0.114 0.114 0.114
V 0.298 0.298 0.298
V 0.702 0.702 0.702
V 0.886 0.886 0.886
Fe 0.500 0.500 0.500
B 0.403 0.403 0.403
B 0.597 0.597 0.597
CELL_PARAMETERS angstrom
1.793 1.035 7.214
-1.793 1.035 7.214
0.000 -2.071 7.214
! Symmetry: R-3m, No. 166
! Calculated formation energy (eV per atom): -0.09
! E (eV/atom): -8.416

8.
! PBE VFeB2, relaxed; values from VASP
&SYSTEM
  ibrav = 0, nat = 16, ntyp = 3
/
ATOMIC_SPECIES
V 50.94 V.upf
Fe 55.84 Fe.upf
B 10.81 B.upf
ATOMIC_POSITIONS crystal
V 0.136 0.250 0.147
V 0.364 0.750 0.647
V 0.636 0.250 0.353
V 0.864 0.750 0.853
Fe 0.149 0.250 0.438
Fe 0.351 0.750 0.938
Fe 0.649 0.250 0.062
Fe 0.851 0.750 0.562
B 0.021 0.250 0.666
B 0.176 0.250 0.847
B 0.324 0.750 0.347
B 0.479 0.750 0.166
B 0.521 0.250 0.834
B 0.676 0.250 0.653
B 0.824 0.750 0.153
B 0.979 0.750 0.334
CELL_PARAMETERS angstrom
5.146 0.000 0.000
0.000 3.195 0.000
0.000 0.000 8.561
! Symmetry: Pnma, No. 62
! Calculated formation energy (eV per atom): -0.42
! E (eV/atom): -8.158

9.
! PBE V3FeB4, relaxed; values from VASP
&SYSTEM
  ibrav = 0, nat = 16, ntyp = 3
/
ATOMIC_SPECIES
V 50.94 V.upf
Fe 55.84 Fe.upf
B 10.81 B.upf
ATOMIC_POSITIONS crystal
V 0.000 0.000 0.000
V 0.000 0.500 0.191
V 0.000 0.500 0.809
V 0.500 0.000 0.309
V 0.500 0.000 0.691
V 0.500 0.500 0.500
Fe 0.000 0.000 0.500
Fe 0.500 0.500 0.000
B 0.000 0.314 0.371
B 0.000 0.314 0.629
B 0.000 0.686 0.371
B 0.000 0.686 0.629
B 0.500 0.186 0.129
B 0.500 0.186 0.871
B 0.500 0.814 0.129
B 0.500 0.814 0.871
CELL_PARAMETERS angstrom
3.022 0.000 0.000
0.000 4.525 0.000
0.000 0.000 11.175
! Symmetry: Immm, No. 71
! Calculated formation energy (eV per atom): -0.37
! E (eV/atom): -8.186

10.
! PBE VFe2B2, relaxed; values from VASP
&SYSTEM
  ibrav = 0, nat = 10, ntyp = 3
/
ATOMIC_SPECIES
V 50.94 V.upf
Fe 55.84 Fe.upf
B 10.81 B.upf
ATOMIC_POSITIONS crystal
V 0.000 0.000 0.000
V 0.500 0.500 0.000
Fe 0.173 0.327 0.500
Fe 0.327 0.827 0.500
Fe 0.673 0.173 0.500
Fe 0.827 0.673 0.500
B 0.116 0.616 0.000
B 0.384 0.116 0.000
B 0.616 0.884 0.000
B 0.884 0.384 0.000
CELL_PARAMETERS angstrom
5.780 0.000 0.000
0.000 5.780 0.000
0.000 0.000 2.647
! Symmetry: P4/mbm, No. 127
! Calculated formation energy (eV per atom): -0.29
! E (eV/atom): -8.166

11.
! PBE V2Fe21B6, relaxed; values from VASP
&SYSTEM
  ibrav = 0, nat = 29, ntyp = 3
/
ATOMIC_SPECIES
V 50.94 V.upf
Fe 55.84 Fe.upf
B 10.81 B.upf
ATOMIC_POSITIONS crystal
V 0.250 0.250 0.250
V 0.750 0.750 0.750
Fe 0.000 0.000 0.000
Fe 0.000 0.000 0.342
Fe 0.000 0.000 0.658
Fe 0.000 0.342 0.000
Fe 0.000 0.342 0.658
Fe 0.000 0.658 0.000
Fe 0.000 0.658 0.342
Fe 0.143 0.619 0.619
Fe 0.342 0.000 0.000
Fe 0.342 0.000 0.658
Fe 0.342 0.658 0.000
Fe 0.381 0.381 0.381
Fe 0.381 0.381 0.857
Fe 0.381 0.857 0.381
Fe 0.619 0.143 0.619
Fe 0.619 0.619 0.143
Fe 0.619 0.619 0.619
Fe 0.658 0.000 0.000
Fe 0.658 0.000 0.342
Fe 0.658 0.342 0.000
Fe 0.857 0.381 0.381
B 0.275 0.275 0.725
B 0.275 0.725 0.275
B 0.275 0.725 0.725
B 0.725 0.275 0.275
B 0.725 0.275 0.725
B 0.725 0.725 0.275
CELL_PARAMETERS angstrom
0.000 5.287 5.287
5.287 0.000 5.287
5.287 5.287 0.000
! Symmetry: Fm-3m, No. 225
! Calculated formation energy (eV per atom): -0.25
! E (eV/atom): -8.388

12.
! PBE VFeB2, relaxed; values from VASP
&SYSTEM
  ibrav = 0, nat = 12, ntyp = 3
/
ATOMIC_SPECIES
V 50.94 V.upf
Fe 55.84 Fe.upf
B 10.81 B.upf
ATOMIC_POSITIONS crystal
V 0.000 0.000 0.000
V 0.333 0.667 0.667
V 0.667 0.333 0.333
Fe 0.000 0.000 0.500
Fe 0.333 0.667 0.167
Fe 0.667 0.333 0.833
B 0.000 0.000 0.215
B 0.000 0.000 0.785
B 0.333 0.667 0.452
B 0.333 0.667 0.881
B 0.667 0.333 0.119
B 0.667 0.333 0.548
CELL_PARAMETERS angstrom
3.327 0.000 0.000
-1.664 2.881 0.000
0.000 0.000 11.114
! Symmetry: R-3m, No. 166
! Calculated formation energy (eV per atom): -0.23
! E (eV/atom): -7.966

13.
! PBE V4Fe2B, relaxed; values from VASP
&SYSTEM
  ibrav = 0, nat = 14, ntyp = 3
/
ATOMIC_SPECIES
V 50.94 V.upf
Fe 55.84 Fe.upf
B 10.81 B.upf
ATOMIC_POSITIONS crystal
V 0.000 0.000 0.184
V 0.000 0.000 0.816
V 0.000 0.500 0.000
V 0.000 0.500 0.500
V 0.500 0.000 0.000
V 0.500 0.000 0.500
V 0.500 0.500 0.316
V 0.500 0.500 0.684
Fe 0.000 0.000 0.367
Fe 0.000 0.000 0.633
Fe 0.500 0.500 0.133
Fe 0.500 0.500 0.867
B 0.000 0.000 0.000
B 0.500 0.500 0.500
CELL_PARAMETERS angstrom
3.949 0.000 0.000
0.000 3.949 0.000
0.000 0.000 11.672
! Symmetry: I4/mmm, No. 139
! Calculated formation energy (eV per atom): 0.31
! E (eV/atom): -8.276

14.
! PBE VFe6B6, relaxed; values from VASP
&SYSTEM
  ibrav = 0, nat = 13, ntyp = 3
/
ATOMIC_SPECIES
V 50.94 V.upf
Fe 55.84 Fe.upf
B 10.81 B.upf
ATOMIC_POSITIONS crystal
V 0.000 0.000 0.000
Fe 0.182 0.682 0.500
Fe 0.339 0.000 0.339
Fe 0.342 0.342 0.000
Fe 0.658 0.658 0.000
Fe 0.661 0.000 0.661
Fe 0.818 0.318 0.500
B 0.000 0.000 0.500
B 0.000 0.500 0.000
B 0.232 0.500 0.732
B 0.500 0.000 0.000
B 0.500 0.500 0.500
B 0.768 0.500 0.268
CELL_PARAMETERS angstrom
-2.085 3.570 3.574
2.085 -3.570 3.574
2.085 3.570 -3.574
! Symmetry: Immm, No. 71
! Calculated formation energy (eV per atom): -0.10
! E (eV/atom): -7.787

15.
! PBE VFe4B2, relaxed; values from VASP
&SYSTEM
  ibrav = 0, nat = 14, ntyp = 3
/
ATOMIC_SPECIES
V 50.94 V.upf
Fe 55.84 Fe.upf
B 10.81 B.upf
ATOMIC_POSITIONS crystal
V 0.000 0.000 0.000
V 0.500 0.500 0.000
Fe 0.000 0.178 0.500
Fe 0.000 0.320 0.000
Fe 0.000 0.680 0.000
Fe 0.000 0.822 0.500
Fe 0.500 0.180 0.000
Fe 0.500 0.322 0.500
Fe 0.500 0.678 0.500
Fe 0.500 0.820 0.000
B 0.000 0.428 0.500
B 0.000 0.572 0.500
B 0.500 0.072 0.500
B 0.500 0.928 0.500
CELL_PARAMETERS angstrom
3.333 0.000 0.000
0.000 11.944 0.000
0.000 0.000 3.336
! Symmetry: Cmmm, No. 65
! Calculated formation energy (eV per atom): -0.17
! E (eV/atom): -8.212

16.
! PBE VFeB4, relaxed; values from VASP
&SYSTEM
  ibrav = 0, nat = 24, ntyp = 3
/
ATOMIC_SPECIES
V 50.94 V.upf
Fe 55.84 Fe.upf
B 10.81 B.upf
ATOMIC_POSITIONS crystal
V 0.156 0.168 0.000
V 0.344 0.668 0.000
V 0.656 0.332 0.000
V 0.844 0.832 0.000
Fe 0.135 0.411 0.000
Fe 0.365 0.911 0.000
Fe 0.635 0.089 0.000
Fe 0.865 0.589 0.000
B 0.015 0.696 0.500
B 0.120 0.551 0.500
B 0.126 0.967 0.500
B 0.198 0.813 0.500
B 0.302 0.313 0.500
B 0.374 0.467 0.500
B 0.380 0.051 0.500
B 0.485 0.196 0.500
B 0.515 0.804 0.500
B 0.620 0.949 0.500
B 0.626 0.533 0.500
B 0.698 0.687 0.500
B 0.802 0.187 0.500
B 0.874 0.033 0.500
B 0.880 0.449 0.500
B 0.985 0.304 0.500
CELL_PARAMETERS angstrom
5.612 0.000 0.000
0.000 11.108 0.000
0.000 0.000 3.052
! Symmetry: Pbam, No. 55
! Calculated formation energy (eV per atom): -0.30
! E (eV/atom): -7.681

17.
! PBE VFeB2, relaxed; values from VASP
&SYSTEM
  ibrav = 0, nat = 8, ntyp = 3
/
ATOMIC_SPECIES
V 50.94 V.upf
Fe 55.84 Fe.upf
B 10.81 B.upf
ATOMIC_POSITIONS crystal
V 0.000 0.000 0.000
V 0.000 0.500 0.500
Fe 0.500 0.000 0.711
Fe 0.500 0.500 0.211
B 0.000 0.000 0.289
B 0.000 0.500 0.789
B 0.500 0.000 0.418
B 0.500 0.500 0.918
CELL_PARAMETERS angstrom
2.938 0.000 0.000
0.000 3.006 0.000
0.000 0.000 7.803
! Symmetry: Amm2, No. 38
! Calculated formation energy (eV per atom): -0.56
! E (eV/atom): -8.297

18.
! PBE VFe2B2, relaxed; values from VASP
&SYSTEM
  ibrav = 0, nat = 10, ntyp = 3
/
ATOMIC_SPECIES
V 50.94 V.upf
Fe 55.84 Fe.upf
B 10.81 B.upf
ATOMIC_POSITIONS crystal
V 0.183 0.250 0.244
V 0.817 0.750 0.756
Fe 0.248 0.750 0.489
Fe 0.345 0.250 0.894
Fe 0.655 0.750 0.106
Fe 0.752 0.250 0.511
B 0.133 0.750 0.023
B 0.290 0.250 0.663
B 0.710 0.750 0.337
B 0.867 0.250 0.977
CELL_PARAMETERS angstrom
3.777 0.000 0.000
0.000 2.871 0.000
-0.939 0.000 8.506
! Symmetry: P2_1/m, No. 11
! Calculated formation energy (eV per atom): -0.34
! E (eV/atom): -8.216

19.
! PBE Fe22B6W, relaxed; values from VASP
&SYSTEM
  ibrav = 0, nat = 29, ntyp = 3
/
ATOMIC_SPECIES
Fe 55.84 Fe.upf
B 10.81 B.upf
W 183.84 W.upf
ATOMIC_POSITIONS crystal
Fe 0.000 0.000 0.000
Fe 0.000 0.000 0.342
Fe 0.000 0.000 0.657
Fe 0.000 0.342 0.000
Fe 0.000 0.342 0.657
Fe 0.000 0.657 0.000
Fe 0.000 0.657 0.342
Fe 0.142 0.619 0.619
Fe 0.342 0.000 0.000
Fe 0.342 0.000 0.657
Fe 0.342 0.657 0.000
Fe 0.383 0.383 0.383
Fe 0.383 0.383 0.850
Fe 0.383 0.850 0.383
Fe 0.619 0.142 0.619
Fe 0.619 0.619 0.142
Fe 0.619 0.619 0.619
Fe 0.657 0.000 0.000
Fe 0.657 0.000 0.342
Fe 0.657 0.342 0.000
Fe 0.750 0.750 0.750
Fe 0.850 0.383 0.383
B 0.275 0.275 0.725
B 0.275 0.725 0.275
B 0.275 0.725 0.725
B 0.725 0.275 0.275
B 0.725 0.275 0.725
B 0.725 0.725 0.275
W 0.250 0.250 0.250
CELL_PARAMETERS angstrom
0.000 5.296 5.296
5.296 0.000 5.296
5.296 5.296 0.000
! Symmetry: F-43m, No. 216
! Calculated formation energy (eV per atom): -0.19
! E (eV/atom): -8.440

20.
! PBE Fe2B2W, relaxed; values from VASP
&SYSTEM
  ibrav = 0, nat = 10, ntyp = 3
/
ATOMIC_SPECIES
Fe 55.84 Fe.upf
B 10.81 B.upf
W 183.84 W.upf
ATOMIC_POSITIONS crystal
Fe 0.151 0.349 0.000
Fe 0.349 0.849 0.000
Fe 0.651 0.151 0.000
Fe 0.849 0.651 0.000
B 0.133 0.633 0.500
B 0.367 0.133 0.500
B 0.633 0.867 0.500
B 0.867 0.367 0.500
W 0.000 0.000 0.500
W 0.500 0.500 0.500
CELL_PARAMETERS angstrom
6.010 0.000 0.000
0.000 6.010 0.000
0.000 0.000 2.638
! Symmetry: P4/mbm, No. 127
! Calculated formation energy (eV per atom): -0.09
! E (eV/atom): -8.740